The following is a PBE-GGA calculation of a relaxed structure of RbHg2C, from Alexandria.

The structure belongs to space group I4_1/amd (No. 141, origin choice 2); the cell edges are 7.074, 7.074 and 10.064 Å and the angles 90.00°, 90.00° and 90.00°. The inequivalent atoms are Rb at (0.000, 0.250, 0.375), Hg at (0.000, 0.000, 0.000) and C at (0.000, 0.250, 0.875).

The calculation puts the energy of formation from the pure elements at 0.686 eV/atom.